Entry 1:
Density functional theory data (PBEsol) for an optimized crystal structure of Ba4SmCu3O9.

Cell lengths 8.093, 8.093, 8.093 Å; angles 90.00, 90.00, 90.00 degrees
Space group Pm-3n (No. 223)
One atom of each set of equivalent atoms:
Ba: 0.250 0.250 0.250 x8
Sm: 0.000 0.000 0.000 x2
Cu: 0.000 0.000 0.500 x6
O: 0.000 0.000 0.277 x12
O: 0.000 0.250 0.500 x6

Values from the calculation:
Crystal system: cubic
Formation energy (no corrections) in meV/atom: -2023.4
Total energy in eV/atom: -6.37


Entry 2:
Density functional theory data (PBEsol) for an optimized crystal structure of ThCu6.

Cell lengths 7.971, 5.001, 9.980 Å; angles 90.00, 90.00, 90.00 degrees
Space group Pnma (No. 62)
One atom of each set of equivalent atoms:
Th: 0.240 0.250 0.065 x4
Cu: 0.062 0.750 0.098 x4
Cu: 0.064 0.005 0.309 x8
Cu: 0.100 0.250 0.515 x4
Cu: 0.146 0.750 0.858 x4
Cu: 0.183 0.250 0.756 x4

Values from the calculation:
Crystal system: orthorhombic
Total energy in eV/atom: -5.01
Formation energy from the elements in meV/atom: -136


Entry 3:
Density functional theory data (PBEsol) for an optimized crystal structure of BaTl2InOs.

Cell lengths 5.302, 5.302, 5.540 Å; angles 90.00, 90.00, 90.00 degrees
Space group P4/mmm (No. 123)
One atom of each set of equivalent atoms:
Ba: 0.000 0.000 0.000 x1
Tl: 0.000 0.500 0.500 x2
In: 0.500 0.500 0.000 x1
Os: 0.000 0.000 0.500 x1

Values from the calculation:
Crystal system: tetragonal
Total energy in eV/atom: -4.12
Formation energy from the elements in meV/atom: 406


Entry 4:
Density functional theory data (PBEsol) for an optimized crystal structure of Ca2C.

Cell lengths 13.843, 3.350, 7.090 Å; angles 90.00, 115.78, 90.00 degrees
Space group C2/m (No. 12)
One atom of each set of equivalent atoms:
Ca: 0.116 0.000 0.279 x4
Ca: 0.126 0.000 0.748 x4
C: 0.029 0.500 0.444 x4

Values from the calculation:
Crystal system: monoclinic
Total energy in eV/atom: -4.60
Energy above the most stable polymorph in this dataset in meV per atom: 17.4
Formation energy from the elements in meV/atom: 34


Entry 5:
Density functional theory data (PBEsol) for an optimized crystal structure of Cr2MoPb.

Cell lengths 4.180, 4.180, 7.013 Å; angles 90.00, 90.00, 90.00 degrees
Space group I4/mmm (No. 139)
One atom of each set of equivalent atoms:
Cr: 0.000 0.500 0.250 x4
Mo: 0.000 0.000 0.000 x2
Pb: 0.000 0.000 0.500 x2

Values from the calculation:
Crystal system: tetragonal
Total energy in eV/atom: -8.42
Formation energy from the elements in meV/atom: 638


Entry 6:
Density functional theory data (PBEsol) for an optimized crystal structure of LiZnIr2.

Cell lengths 2.782, 4.521, 8.662 Å; angles 90.00, 90.00, 90.00 degrees
Space group Immm (No. 71)
One atom of each set of equivalent atoms:
Li: 0.000 0.000 0.000 x2
Zn: 0.000 0.000 0.500 x2
Ir: 0.000 0.500 0.240 x4

Values from the calculation:
Crystal system: orthorhombic
Total energy in eV/atom: -5.93
Formation energy from the elements in meV/atom: -127


Q: The lowest total energy belongs to which entry?
A: Cr2MoPb


Q: What is the formula in the fifth record?
A: Cr2MoPb


Q: total energy of number 1 (Ba4SmCu3O9)?
A: -6.37 eV/atom


Q: What is the formula in the sixth record?
A: LiZnIr2